This record from Alexandria describes an optimized crystal structure of PmSiNi2. The functional is GGA-PBE.

a b c (Å): 4.465 4.465 4.465
angles (deg): 60.00 60.00 60.00
Sites, in units of the cell vectors:
Si 0.500 0.500 0.500
Ni 0.250 0.250 0.250
Ni 0.750 0.750 0.750
Pm 0.000 0.000 0.000

Polymorph energy (0 for the lowest one): 0.347 eV/atom
Total magnetization: 0.00 μB per cell
SG: No. 225